Here is a relaxed BaSrTa2Sb crystal from Alexandria via LeMat-Bulk. Energies are from GGA-PBE.

Cell: 5.280 5.280 6.055 Å, 90.00 90.00 90.00°
Space group P4/mmm (No. 123)
Inequivalent atoms, fractional coordinates:
Ba: 0.000 0.000 0.000 [1 per cell]
Sr: 0.500 0.500 0.000 [1 per cell]
Ta: 0.000 0.500 0.500 [2 per cell]
Sb: 0.500 0.500 0.500 [1 per cell]

Output
**Crystal system**: tetragonal
**D(E_F)**: 6.7 states/eV per cell
**Formation energy (no corrections)**: 1.02 eV per atom
**Total magnetic moment**: 0.00 μB per cell


Here is a relaxed BaTiH2 crystal from Alexandria via LeMat-Bulk. Energies are from GGA-PBE.

Cell: 5.747 5.747 8.104 Å, 90.00 90.00 90.00°
Space group I-42d (No. 122)
Inequivalent atoms, fractional coordinates:
Ba: 0.000 0.000 0.000 [4 per cell]
Ti: 0.000 0.000 0.500 [4 per cell]
H: 0.138 0.250 0.625 [8 per cell]

Output
**Crystal system**: tetragonal
**D(E_F)**: 10.9 states/eV per cell
**Energy above the lowest structure with this stoichiometry**: 0 meV/atom
**Total magnetic moment**: 7.42 μB per cell


Here is a relaxed Nd4Tm3ThS8 crystal from Alexandria via LeMat-Bulk. Energies are from GGA-PBE.

Cell: 7.9326 7.9326 19.7158 Å, 90.00 90.00 120.00°
Space group R-3m (No. 166, hexagonal axes)
Inequivalent atoms, fractional coordinates:
Nd: 0.0000 0.0000 0.0000 [3 per cell]
Nd: 0.0000 0.5000 0.0000 [9 per cell]
Tm: 0.0000 0.5000 0.5000 [9 per cell]
Th: 0.0000 0.0000 0.5000 [3 per cell]
S: 0.0000 0.0000 0.2426 [6 per cell]
S: 0.0088 0.5044 0.7553 [18 per cell]

Output
**Crystal system**: trigonal
**D(E_F)**: 24.2 states/eV per cell
**Formation energy (no corrections)**: -1.96 eV per atom
**Total magnetic moment**: 0.00 μB per cell


Here is a relaxed AsOsRu2 crystal from Alexandria via LeMat-Bulk. Energies are from GGA-PBE.

Cell: 3.926 2.826 10.394 Å, 90.00 90.00 90.00°
Space group Amm2 (No. 38)
Inequivalent atoms, fractional coordinates:
As: 0.000 0.000 0.000 [2 per cell]
Os: 0.500 0.000 0.152 [2 per cell]
Ru: 0.000 0.000 0.765 [2 per cell]
Ru: 0.500 0.000 0.412 [2 per cell]

Output
**Crystal system**: orthorhombic
**D(E_F)**: 5.9 states/eV per cell
**Raw total energy**: -8.484 eV/atom
**Total magnetic moment**: 0.00 μB per cell


Here is a relaxed CePr2Bi crystal from Alexandria via LeMat-Bulk. Energies are from GGA-PBE.

Cell: 5.055 5.055 4.820 Å, 90.00 90.00 90.00°
Space group P4/mmm (No. 123)
Inequivalent atoms, fractional coordinates:
Ce: 0.000 0.000 0.000 [1 per cell]
Pr: 0.000 0.500 0.500 [2 per cell]
Bi: 0.500 0.500 0.000 [1 per cell]

Output
**Crystal system**: tetragonal
**D(E_F)**: 8.7 states/eV per cell
**Energy above the lowest structure with this stoichiometry**: 0 meV/atom
**Total magnetic moment**: 0.85 μB per cell


Here is a relaxed CeGa4Pd2Rh crystal from Alexandria via LeMat-Bulk. Energies are from GGA-PBE.

Cell: 4.2905 4.2905 26.4071 Å, 90.00 90.00 120.00°
Space group R-3m (No. 166, hexagonal axes)
Inequivalent atoms, fractional coordinates:
Ce: 0.0000 0.0000 0.0000 [3 per cell]
Ga: 0.0000 0.0000 0.1321 [6 per cell]
Ga: 0.0000 0.0000 0.3997 [6 per cell]
Pd: 0.0000 0.0000 0.2348 [6 per cell]
Rh: 0.0000 0.0000 0.5000 [3 per cell]

Output
**Crystal system**: trigonal
**D(E_F)**: 19.9 states/eV per cell
**Raw total energy**: -5.123 eV/atom
**Total magnetic moment**: 1.30 μB per cell


Here is a relaxed Sc2ZnIr crystal from Alexandria via LeMat-Bulk. Energies are from GGA-PBE.

Cell: 6.558 6.558 6.558 Å, 90.00 90.00 90.00°
Space group Fm-3m (No. 225)
Inequivalent atoms, fractional coordinates:
Sc: 0.250 0.250 0.250 [8 per cell]
Zn: 0.000 0.000 0.000 [4 per cell]
Ir: 0.000 0.000 0.500 [4 per cell]

Output
**Crystal system**: cubic
**D(E_F)**: 10.7 states/eV per cell
**Energy above the lowest structure with this stoichiometry**: 0 meV/atom
**Total magnetic moment**: 0.00 μB per cell


Here is a relaxed LiCeSm2Tl4 crystal from Alexandria via LeMat-Bulk. Energies are from GGA-PBE.

Cell: 5.3115 5.3115 27.3461 Å, 90.00 90.00 120.00°
Space group R-3m (No. 166, hexagonal axes)
Inequivalent atoms, fractional coordinates:
Li: 0.0000 0.0000 0.0000 [3 per cell]
Ce: 0.0000 0.0000 0.5000 [3 per cell]
Sm: 0.0000 0.0000 0.2563 [6 per cell]
Tl: 0.0000 0.0000 0.1230 [6 per cell]
Tl: 0.0000 0.0000 0.3729 [6 per cell]

Output
**Crystal system**: trigonal
**D(E_F)**: 31.1 states/eV per cell
**Raw total energy**: -3.646 eV/atom
**Total magnetic moment**: 2.89 μB per cell


Here is a relaxed K2SrCl4 crystal from Alexandria via LeMat-Bulk. Energies are from GGA-PBE.

Cell: 8.004 13.206 8.249 Å, 90.00 109.58 90.00°
Space group Pc (No. 7)
Inequivalent atoms, fractional coordinates:
K: 0.000 0.055 0.000 [2 per cell]
K: 0.111 0.310 0.361 [2 per cell]
K: 0.446 0.123 0.793 [2 per cell]
K: 0.469 0.445 0.948 [2 per cell]
Sr: 0.595 0.210 0.323 [2 per cell]
Sr: 0.914 0.376 0.804 [2 per cell]
Cl: 0.128 0.496 0.641 [2 per cell]
Cl: 0.272 0.260 0.023 [2 per cell]
Cl: 0.288 0.086 0.373 [2 per cell]
Cl: 0.519 0.324 0.600 [2 per cell]
Cl: 0.689 0.027 0.188 [2 per cell]
Cl: 0.727 0.432 0.325 [2 per cell]
Cl: 0.783 0.257 0.035 [2 per cell]
Cl: 0.942 0.197 0.601 [2 per cell]

Output
**Crystal system**: monoclinic
**D(E_F)**: 0.0 states/eV per cell
**Energy above the lowest structure with this stoichiometry**: 31 meV/atom
**Formation energy (no corrections)**: -2.16 eV per atom
**Total magnetic moment**: 0.04 μB per cell


Here is a relaxed BRuI2O crystal from Alexandria via LeMat-Bulk. Energies are from GGA-PBE.

Cell: 5.523 5.523 3.740 Å, 90.00 90.00 90.00°
Space group P4/mmm (No. 123)
Inequivalent atoms, fractional coordinates:
B: 0.000 0.000 0.000 [1 per cell]
Ru: 0.500 0.500 0.500 [1 per cell]
I: 0.000 0.500 0.500 [2 per cell]
O: 0.500 0.500 0.000 [1 per cell]

Output
**Crystal system**: tetragonal
**D(E_F)**: 3.7 states/eV per cell
**Energy above the lowest structure with this stoichiometry**: 171 meV/atom
**Formation energy (no corrections)**: 0.69 eV per atom
**Total magnetic moment**: 0.12 μB per cell


Here is a relaxed Dy6Cu5Ag crystal from Alexandria via LeMat-Bulk. Energies are from GGA-PBE.

Cell: 4.968 14.899 6.945 Å, 90.00 90.00 90.00°
Space group Cmmm (No. 65)
Inequivalent atoms, fractional coordinates:
Dy: 0.000 0.000 0.243 [4 per cell]
Dy: 0.000 0.330 0.247 [8 per cell]
Cu: 0.000 0.165 0.000 [4 per cell]
Cu: 0.000 0.165 0.500 [4 per cell]
Cu: 0.000 0.500 0.000 [2 per cell]
Ag: 0.000 0.500 0.500 [2 per cell]

Output
**Crystal system**: orthorhombic
**D(E_F)**: 10.9 states/eV per cell
**Raw total energy**: -4.504 eV/atom
**Total magnetic moment**: 0.00 μB per cell


Here is a relaxed FeSi2Ru crystal from Alexandria via LeMat-Bulk. Energies are from GGA-PBE.

Cell: 2.921 4.620 7.453 Å, 90.00 90.00 90.00°
Space group Immm (No. 71)
Inequivalent atoms, fractional coordinates:
Fe: 0.000 0.000 0.000 [2 per cell]
Si: 0.000 0.500 0.261 [4 per cell]
Ru: 0.000 0.000 0.500 [2 per cell]

Output
**Crystal system**: orthorhombic
**D(E_F)**: 5.7 states/eV per cell
**Formation energy (no corrections)**: -0.17 eV per atom
**Total magnetic moment**: 1.99 μB per cell


Here is a relaxed ReTe2IO crystal from Alexandria via LeMat-Bulk. Energies are from GGA-PBE.

Cell: 4.620 4.620 4.948 Å, 90.00 90.00 90.00°
Space group P4/mmm (No. 123)
Inequivalent atoms, fractional coordinates:
Re: 0.000 0.000 0.000 [1 per cell]
Te: 0.000 0.500 0.500 [2 per cell]
I: 0.500 0.500 0.000 [1 per cell]
O: 0.500 0.500 0.500 [1 per cell]

Output
**Crystal system**: tetragonal
**D(E_F)**: 4.1 states/eV per cell
**Energy above the lowest structure with this stoichiometry**: 119 meV/atom
**Formation energy (no corrections)**: 1.21 eV per atom
**Total magnetic moment**: 0.00 μB per cell